Entry from Alexandria: a relaxed structure of TePbCN2 (PBE-GGA).

extended XYZ file:
```
5
Lattice="4.189 0.000 0.000 0.000 4.189 0.000 0.000 0.000 4.416" Properties=species:S:1:pos:R:3 pbc="T T T"
Te 0.000 0.000 0.000
Pb 2.095 2.095 0.000
C 0.000 0.000 2.208
N 0.000 2.095 2.208
N 2.095 0.000 2.208
```

* volume: 15.50 Å³ per atom
* uncorrected formation energy: 2325 meV per atom
* final energy: -4.220 eV/atom